Here is a relaxed Sm2CrPO8 crystal from Alexandria via LeMat-Bulk. Energies are from GGA+U.

Cell: 6.2808 6.2808 4.9246 Å, 90.00 90.00 120.00°
Last column: magnetic moment on the atom in μB.
Positions (direct):
Sm: 0.6667 0.3333 0.7788  -0.02
Sm: 0.3333 0.6667 0.2212  -0.02
Cr: 0.0000 0.0000 0.5000  2.98
P: 0.0000 0.0000 0.0000  0.00
O: 0.8741 0.7482 0.7907  0.08
O: 0.2518 0.1259 0.7907  0.08
O: 0.8741 0.1259 0.7907  0.08
O: 0.1259 0.2518 0.2093  0.08
O: 0.7482 0.8741 0.2093  0.08
O: 0.1259 0.8741 0.2093  0.08
O: 0.6667 0.3333 0.2847  0.57
O: 0.3333 0.6667 0.7153  0.57

Fermi-level density of states ... 8.25 states/eV/f.u.
ρ ... 5.1 g cm⁻³
E ... -7.227 eV per atom